Entry 1:
This record from Alexandria via LeMat-Bulk describes an optimized crystal structure of Nd2GdCo. The functional is GGA-PBE.

Cell: 3.698 3.698 10.677 Å, 80.03 80.03 60.00°
Last column: magnetic moment on the atom in μB.
Element x y z (fractional)
Nd 0.887 0.887 0.338  -0.04
Co 0.500 0.500 0.500  -0.04
Gd 0.000 0.000 0.000  -7.38
Nd 0.113 0.113 0.662  -0.04

Summary:
* total DFT energy (no corrections): -7.47 eV per atom
* SG: R-3m
* formation energy: 0.848 eV per formula unit


Entry 2:
This record from Alexandria via LeMat-Bulk describes an optimized crystal structure of Nd3GdCo. The functional is GGA-PBE.

Cell: 5.443 5.443 5.443 Å, 90.00 90.00 90.00°
Last column: magnetic moment on the atom in μB.
Element x y z (fractional)
Nd 0.000 0.000 0.500  0.06
Gd 0.500 0.500 0.500  7.32
Nd 0.000 0.500 0.000  0.06
Nd 0.500 0.000 0.000  0.06
Co 0.000 0.000 0.000  0.18

Summary:
* total DFT energy (no corrections): -7.02 eV per atom
* SG: Pm-3m
* formation energy: 0.372 eV per formula unit


Entry 3:
This record from Alexandria via LeMat-Bulk describes an optimized crystal structure of NdGdCo4. The functional is GGA-PBE.

Cell: 5.139 5.139 5.139 Å, 60.00 60.00 60.00°
Last column: magnetic moment on the atom in μB.
Element x y z (fractional)
Gd 0.000 0.000 0.000  -7.24
Nd 0.250 0.250 0.250  -0.22
Co 0.625 0.625 0.625  1.17
Co 0.124 0.625 0.625  1.17
Co 0.625 0.625 0.124  1.17
Co 0.625 0.124 0.625  1.17

Summary:
* total DFT energy (no corrections): -7.98 eV per atom
* SG: F-43m
* formation energy: -0.604 eV per formula unit


Entry 4:
This record from Alexandria via LeMat-Bulk describes an optimized crystal structure of NdGdCoNi. The functional is GGA-PBE.

Cell: 4.855 4.855 4.855 Å, 60.00 60.00 60.00°
Last column: magnetic moment on the atom in μB.
Element x y z (fractional)
Nd 0.500 0.500 0.500  -0.07
Co 0.750 0.750 0.750  0.61
Gd 0.000 0.000 0.000  -7.08
Ni 0.250 0.250 0.250  0.02

Summary:
* total DFT energy (no corrections): -8.08 eV per atom
* SG: F-43m
* formation energy: -0.581 eV per formula unit


Entry 5:
This record from Alexandria via LeMat-Bulk describes an optimized crystal structure of NdGdCoOs. The functional is GGA-PBE.

Cell: 4.902 4.902 4.902 Å, 60.00 60.00 60.00°
Last column: magnetic moment on the atom in μB.
Element x y z (fractional)
Nd 0.500 0.500 0.500  -0.10
Co 0.750 0.750 0.750  1.21
Gd 0.000 0.000 0.000  -7.12
Os 0.250 0.250 0.250  0.26

Summary:
* total DFT energy (no corrections): -9.26 eV per atom
* SG: F-43m
* formation energy: 0.161 eV per formula unit


Entry 6:
This record from Alexandria via LeMat-Bulk describes an optimized crystal structure of NdGdCoRh. The functional is GGA-PBE.

Cell: 4.907 4.907 4.907 Å, 60.00 60.00 60.00°
Last column: magnetic moment on the atom in μB.
Element x y z (fractional)
Rh 0.000 0.000 0.000  -0.21
Nd 0.250 0.250 0.250  0.10
Co 0.500 0.500 0.500  -0.94
Gd 0.750 0.750 0.750  7.11

Summary:
* total DFT energy (no corrections): -8.68 eV per atom
* SG: F-43m
* formation energy: -1.433 eV per formula unit


Entry 7:
This record from Alexandria via LeMat-Bulk describes an optimized crystal structure of NdGdCoRu. The functional is GGA-PBE.

Cell: 4.879 4.879 4.879 Å, 60.00 60.00 60.00°
Last column: magnetic moment on the atom in μB.
Element x y z (fractional)
Ru 0.750 0.750 0.750  -0.12
Nd 0.000 0.000 0.000  0.08
Co 0.250 0.250 0.250  -0.52
Gd 0.500 0.500 0.500  7.08

Summary:
* total DFT energy (no corrections): -8.89 eV per atom
* SG: F-43m
* formation energy: -0.313 eV per formula unit


Entry 8:
This record from Alexandria via LeMat-Bulk describes an optimized crystal structure of NdGdTlCo. The functional is GGA-PBE.

Cell: 5.227 5.227 5.227 Å, 60.00 60.00 60.00°
Last column: magnetic moment on the atom in μB.
Element x y z (fractional)
Gd 0.250 0.250 0.250  -7.12
Co 0.500 0.500 0.500  1.55
Nd 0.750 0.750 0.750  -0.09
Tl 0.000 0.000 0.000  0.04

Summary:
* total DFT energy (no corrections): -7.16 eV per atom
* SG: F-43m
* formation energy: -0.310 eV per formula unit


Entry 9:
This record from Alexandria via LeMat-Bulk describes an optimized crystal structure of Gd2CoNi. The functional is GGA-PBE.

Cell: 3.380 3.380 6.832 Å, 90.00 90.00 90.00°
Last column: magnetic moment on the atom in μB.
Element x y z (fractional)
Co 0.500 0.500 0.000  -0.81
Gd 0.000 0.000 0.247  7.09
Gd 0.000 0.000 0.753  7.09
Ni 0.500 0.500 0.500  -0.01

Summary:
* total DFT energy (no corrections): -10.49 eV per atom
* SG: P4/mmm
* formation energy: -0.931 eV per formula unit


Entry 10:
This record from Alexandria via LeMat-Bulk describes an optimized crystal structure of GdCoNi. The functional is GGA-PBE.

Cell: 3.896 3.938 3.938 Å, 120.00 90.00 90.00°
Last column: magnetic moment on the atom in μB.
Element x y z (fractional)
Ni 0.167 0.000 0.000  0.05
Co 0.167 0.333 0.667  0.28
Gd 0.667 0.667 0.333  -7.02

Summary:
* total DFT energy (no corrections): -9.21 eV per atom
* SG: P-6m2
* formation energy: -0.675 eV per formula unit


Entry 11:
This record from Alexandria via LeMat-Bulk describes an optimized crystal structure of Gd2CoNi. The functional is GGA-PBE.

Cell: 3.524 3.524 8.801 Å, 78.45 78.45 60.00°
Last column: magnetic moment on the atom in μB.
Element x y z (fractional)
Gd 0.900 0.900 0.299  7.04
Co 0.500 0.500 0.500  -0.14
Ni 0.000 0.000 0.000  0.02
Gd 0.100 0.100 0.701  7.04

Summary:
* total DFT energy (no corrections): -9.85 eV per atom
* SG: R-3m
* formation energy: 1.634 eV per formula unit


Entry 12:
This record from Alexandria via LeMat-Bulk describes an optimized crystal structure of GdCo4Ni. The functional is GGA-PBE.

Cell: 4.884 4.884 4.884 Å, 60.00 60.00 60.00°
Last column: magnetic moment on the atom in μB.
Element x y z (fractional)
Co 0.129 0.624 0.624  1.57
Ni 0.250 0.250 0.250  0.73
Gd 0.000 0.000 0.000  6.78
Co 0.624 0.129 0.624  1.57
Co 0.624 0.624 0.129  1.57
Co 0.624 0.624 0.624  1.57

Summary:
* total DFT energy (no corrections): -8.03 eV per atom
* SG: F-43m
* formation energy: 0.094 eV per formula unit